The following is a GGA-PBE calculation of YCrPt2Se after structural relaxation, from the Alexandria database.

abc: 4.7508 4.7508 4.5433
angles: 90.00 90.00 90.00
Atoms (fractional coordinates):
Y  0.0000  0.0000  0.0000
Cr  0.5000  0.5000  0.5000
Pt  0.0000  0.5000  0.5000
Pt  0.5000  0.0000  0.5000
Se  0.5000  0.5000  0.0000

Results
E_form (uncorrected): -214 meV/atom
Fermi-level density of states: 4.71 states/eV per cell
Energy: -32.7 eV for the cell shown
Space-group type: P4/mmm, No. 123
Calculated volume: 102.5 Å³/f.u.


The following is a GGA-PBE calculation of CrSiPt after structural relaxation, from the Alexandria database.

abc: 2.7499 2.7499 6.1386
angles: 90.00 90.00 120.00
Atoms (fractional coordinates):
Cr  0.0000  0.0000  0.0000
Si  0.6667  0.3333  0.6882
Pt  0.3333  0.6667  0.3519

Results
E_form (uncorrected): -129 meV/atom
Fermi-level density of states: 1.80 states/eV per cell
Energy: -21.5 eV for the cell shown
Space-group type: P3m1, No. 156
Calculated volume: 40.2 Å³/f.u.


The following is a GGA-PBE calculation of CrSiPt after structural relaxation, from the Alexandria database.

abc: 4.1610 4.1610 2.8776
angles: 90.00 90.00 120.00
Atoms (fractional coordinates):
Cr  0.0000  0.0000  0.0000
Si  0.6667  0.3333  0.5000
Pt  0.3333  0.6667  0.5000

Results
E_form (uncorrected): -348 meV/atom
Fermi-level density of states: 2.46 states/eV per cell
Energy: -22.1 eV for the cell shown
Space-group type: P-6m2, No. 187
Calculated volume: 43.1 Å³/f.u.


The following is a GGA-PBE calculation of Cr2SiPt after structural relaxation, from the Alexandria database.

abc: 8.1132 8.1132 8.1132
angles: 19.68 19.68 19.68
Atoms (fractional coordinates):
Cr  0.0000  0.0000  0.0000
Cr  0.2601  0.2601  0.2601
Si  0.5134  0.5134  0.5134
Pt  0.7603  0.7603  0.7603

Results
E_form (uncorrected): -14 meV/atom
Fermi-level density of states: 3.47 states/eV per cell
Energy: -30.8 eV for the cell shown
Space-group type: R3m, No. 160
Calculated volume: 53.0 Å³/f.u.


The following is a GGA-PBE calculation of CrSi2Pt after structural relaxation, from the Alexandria database.

abc: 7.9609 7.9609 7.9609
angles: 20.93 20.93 20.93
Atoms (fractional coordinates):
Cr  0.0000  0.0000  0.0000
Si  0.4943  0.4943  0.4943
Si  0.7437  0.7437  0.7437
Pt  0.2404  0.2404  0.2404

Results
E_form (uncorrected): -5 meV/atom
Fermi-level density of states: 2.99 states/eV per cell
Energy: -26.5 eV for the cell shown
Space-group type: R3m, No. 160
Calculated volume: 56.4 Å³/f.u.


The following is a GGA-PBE calculation of CrSi2Pt after structural relaxation, from the Alexandria database.

abc: 2.9844 2.9844 5.8040
angles: 90.00 90.00 90.00
Atoms (fractional coordinates):
Cr  0.0000  0.0000  0.0000
Si  0.5000  0.5000  0.2173
Si  0.5000  0.5000  0.7827
Pt  0.0000  0.0000  0.5000

Results
E_form (uncorrected): -270 meV/atom
Fermi-level density of states: 2.30 states/eV per cell
Energy: -27.6 eV for the cell shown
Space-group type: P4/mmm, No. 123
Calculated volume: 51.7 Å³/f.u.


The following is a GGA-PBE calculation of CrSiPt after structural relaxation, from the Alexandria database.

abc: 5.5338 5.5338 5.5338
angles: 150.67 150.67 41.95
Atoms (fractional coordinates):
Cr  0.0000  0.0000  0.0000
Si  0.3558  0.3558  0.0000
Pt  0.6943  0.6943  0.0000

Results
E_form (uncorrected): -240 meV/atom
Fermi-level density of states: 2.51 states/eV per cell
Energy: -21.8 eV for the cell shown
Space-group type: I4mm, No. 107
Calculated volume: 40.6 Å³/f.u.


The following is a GGA-PBE calculation of CrSi2Pt after structural relaxation, from the Alexandria database.

abc: 4.5958 4.5958 4.2985
angles: 104.31 104.31 37.94
Atoms (fractional coordinates):
Cr  0.0000  0.0000  0.0000
Si  0.2633  0.2633  0.8959
Si  0.5160  0.5160  0.5408
Pt  0.7709  0.7709  0.3909

Results
E_form (uncorrected): -342 meV/atom
Fermi-level density of states: 1.73 states/eV per cell
Energy: -27.9 eV for the cell shown
Space-group type: Cm, No. 8
Calculated volume: 53.9 Å³/f.u.


The following is a GGA-PBE calculation of Cr2SiPt after structural relaxation, from the Alexandria database.

abc: 4.6510 4.6510 2.6655
angles: 90.00 90.00 116.12
Atoms (fractional coordinates):
Cr  0.0000  0.5000  0.0000
Cr  0.5000  0.0000  0.0000
Si  0.0000  0.0000  0.5000
Pt  0.5000  0.5000  0.5000

Results
E_form (uncorrected): -145 meV/atom
Fermi-level density of states: 4.46 states/eV per cell
Energy: -31.3 eV for the cell shown
Space-group type: Cmmm, No. 65
Calculated volume: 51.8 Å³/f.u.


The following is a GGA-PBE calculation of CrSi2Pt after structural relaxation, from the Alexandria database.

abc: 2.7273 4.5614 4.2876
angles: 90.00 90.00 90.00
Atoms (fractional coordinates):
Cr  0.0000  0.0000  0.0000
Si  0.0000  0.5000  0.2522
Si  0.5000  0.0000  0.4890
Pt  0.5000  0.5000  0.7568

Results
E_form (uncorrected): -269 meV/atom
Fermi-level density of states: 2.48 states/eV per cell
Energy: -27.6 eV for the cell shown
Space-group type: Pmm2, No. 25
Calculated volume: 53.3 Å³/f.u.


The following is a GGA-PBE calculation of Cr2SiPt after structural relaxation, from the Alexandria database.

abc: 8.5838 8.5838 8.5838
angles: 17.83 17.83 17.83
Atoms (fractional coordinates):
Cr  0.2459  0.2459  0.2459
Cr  0.7541  0.7541  0.7541
Si  0.5000  0.5000  0.5000
Pt  0.0000  0.0000  0.0000

Results
E_form (uncorrected): -32 meV/atom
Fermi-level density of states: 3.75 states/eV per cell
Energy: -30.8 eV for the cell shown
Space-group type: R-3m, No. 166
Calculated volume: 51.7 Å³/f.u.


The following is a GGA-PBE calculation of Cr2SiPt after structural relaxation, from the Alexandria database.

abc: 4.5091 4.5091 4.3873
angles: 106.05 106.05 39.59
Atoms (fractional coordinates):
Cr  0.0000  0.0000  0.0000
Cr  0.7365  0.7365  0.1391
Si  0.2487  0.2487  0.6645
Pt  0.5099  0.5099  0.5086

Results
E_form (uncorrected): -240 meV/atom
Fermi-level density of states: 2.20 states/eV per cell
Energy: -31.7 eV for the cell shown
Space-group type: Cm, No. 8
Calculated volume: 54.3 Å³/f.u.